Version w
Compound: NbTcAs2Br
Source: Alexandria
Functional: PBE
Structure: optimized geometry

Cell: 5.0223 5.0223 5.1408 Å, 90.00 90.00 90.00°
Positions (direct):
Nb  0.0000  0.0000  0.0000
Tc  0.5000  0.5000  0.5000
As  0.0000  0.5000  0.0000
As  0.5000  0.0000  0.0000
Br  0.0000  0.0000  0.5000

Calculated values
Density (Mg/m³): 5.39
Magnetic moment (μB per formula unit): 4.76
Space-group type: P4/mmm (123)
Crystal system: tetragonal
N(E_F) (states/eV/f.u.): 3.0

Version x
Compound: NbTcAs2Br
Source: Alexandria
Functional: PBE
Structure: optimized geometry

Cell: 4.7174 4.7174 5.3081 Å, 90.00 90.00 90.00°
Positions (direct):
Nb  0.0000  0.0000  0.0000
Tc  0.5000  0.5000  0.5000
As  0.0000  0.5000  0.5000
As  0.5000  0.0000  0.5000
Br  0.5000  0.5000  0.0000

Calculated values
Density (Mg/m³): 5.91
Magnetic moment (μB per formula unit): 3.48
Space-group type: P4/mmm (123)
Crystal system: tetragonal
N(E_F) (states/eV/f.u.): 4.7

Relative stability in kJ/mol of atoms, measured from the most stable structure: version w 3.7; version x 0.0

Version w
Compound: NbTeAs2Br
Source: Alexandria
Functional: PBE
Structure: optimized geometry

Cell: 4.9961 4.9961 5.3942 Å, 90.00 90.00 90.00°
Positions (direct):
Nb  0.0000  0.0000  0.0000
Te  0.5000  0.5000  0.0000
As  0.0000  0.5000  0.5000
As  0.5000  0.0000  0.5000
Br  0.5000  0.5000  0.5000

Calculated values
Density (Mg/m³): 5.55
Magnetic moment (μB per formula unit): 1.99
Space-group type: P4/mmm (123)
Crystal system: tetragonal
N(E_F) (states/eV/f.u.): 4.0

Version x
Compound: NbTeAs2Br
Source: Alexandria
Functional: PBE
Structure: optimized geometry

Cell: 5.1611 5.1611 4.9385 Å, 90.00 90.00 90.00°
Positions (direct):
Nb  0.0000  0.0000  0.0000
Te  0.5000  0.5000  0.5000
As  0.0000  0.5000  0.0000
As  0.5000  0.0000  0.0000
Br  0.0000  0.0000  0.5000

Calculated values
Density (Mg/m³): 5.68
Magnetic moment (μB per formula unit): 0.00
Space-group type: P4/mmm (123)
Crystal system: tetragonal
N(E_F) (states/eV/f.u.): 4.6

Relative stability in kJ/mol of atoms, measured from the most stable structure: version w 105.7; version x 0.0

Version w
Compound: NbTeAsBr2
Source: Alexandria
Functional: PBE
Structure: optimized geometry

Cell: 4.9912 4.9912 5.4504 Å, 90.00 90.00 90.00°
Positions (direct):
Nb  0.0000  0.0000  0.0000
Te  0.5000  0.5000  0.5000
As  0.0000  0.0000  0.5000
Br  0.0000  0.5000  0.0000
Br  0.5000  0.0000  0.0000

Calculated values
Density (Mg/m³): 5.57
Magnetic moment (μB per formula unit): 0.00
Space-group type: P4/mmm (123)
Crystal system: tetragonal
N(E_F) (states/eV/f.u.): 5.5

Version x
Compound: NbTeAsBr2
Source: Alexandria
Functional: PBE
Structure: optimized geometry

Cell: 5.3927 5.3927 5.6404 Å, 90.00 90.00 90.00°
Positions (direct):
Nb  0.0000  0.0000  0.0000
Te  0.5000  0.5000  0.5000
As  0.5000  0.5000  0.0000
Br  0.0000  0.5000  0.5000
Br  0.5000  0.0000  0.5000

Calculated values
Density (Mg/m³): 4.61
Magnetic moment (μB per formula unit): 3.03
Space-group type: P4/mmm (123)
Crystal system: tetragonal
N(E_F) (states/eV/f.u.): 9.6

Relative stability in kJ/mol of atoms, measured from the most stable structure: version w 0.0; version x 91.8

Version w
Compound: NbTlAsBr2
Source: Alexandria
Functional: PBE
Structure: optimized geometry

Cell: 5.3454 5.3454 5.0453 Å, 90.00 90.00 90.00°
Positions (direct):
Nb  0.0000  0.0000  0.0000
Tl  0.5000  0.5000  0.5000
As  0.0000  0.0000  0.5000
Br  0.0000  0.5000  0.0000
Br  0.5000  0.0000  0.0000

Calculated values
Density (Mg/m³): 6.13
Magnetic moment (μB per formula unit): 0.28
Space-group type: P4/mmm (123)
Crystal system: tetragonal
N(E_F) (states/eV/f.u.): 1.8

Version x
Compound: NbTlAsBr2
Source: Alexandria
Functional: PBE
Structure: optimized geometry

Cell: 5.5626 5.5626 5.4043 Å, 90.00 90.00 90.00°
Positions (direct):
Nb  0.0000  0.0000  0.0000
Tl  0.5000  0.5000  0.5000
As  0.5000  0.5000  0.0000
Br  0.0000  0.5000  0.5000
Br  0.5000  0.0000  0.5000

Calculated values
Density (Mg/m³): 5.28
Magnetic moment (μB per formula unit): 2.41
Space-group type: P4/mmm (123)
Crystal system: tetragonal
N(E_F) (states/eV/f.u.): 7.1

Relative stability in kJ/mol of atoms, measured from the most stable structure: version w 0.0; version x 120.3